Entry from Alexandria: a relaxed RbErV2O8 crystal (PBE with a Hubbard U).

Cell: 5.915 5.915 8.018 Å, 90.00 90.00 120.00°
Fractional coordinates of all 12 atoms:
Rb (0.000, 0.000, 0.000)
Er (0.000, 0.000, 0.500)
V (0.667, 0.333, 0.261)
V (0.333, 0.667, 0.739)
O (0.333, 0.667, 0.952)
O (0.344, 0.173, 0.331)
O (0.827, 0.170, 0.331)
O (0.667, 0.333, 0.048)
O (0.173, 0.830, 0.669)
O (0.656, 0.827, 0.669)
O (0.170, 0.344, 0.669)
O (0.830, 0.656, 0.331)

Calculated values
E_tot = -83.9 eV/cell